The following is a PBE-GGA calculation of an optimized crystal structure of ScGa3Co3, from the Alexandria database.

Structure (CIF):
```
data_ScGa3Co3
_chemical_formula_sum 'Sc2 Ga6 Co6'
_cell_length_a 6.350
_cell_length_b 6.350
_cell_length_c 6.350
_cell_angle_alpha 90.00
_cell_angle_beta 90.00
_cell_angle_gamma 90.00
_symmetry_space_group_name_H-M 'P m -3 n'
_symmetry_Int_Tables_number 223
_symmetry_space_group_name_Hall '-P 4n 2 3'
loop_
_atom_site_label
_atom_site_fract_x
_atom_site_fract_y
_atom_site_fract_z
Sc1 0.000 0.000 0.000
Ga1 0.000 0.250 0.500
Co1 0.000 0.500 0.250
```

Values from the calculation:
total magnetization = 0.001 μB/cell
D(E_F) = 10.8 states/eV/cell
total DFT energy (no corrections) = -4.861 eV per atom